Here is a relaxed structure of Pm2YAlO6 from Alexandria via LeMat-Bulk. Energies are from GGA-PBE.

Uncorrected formation energy: -3175 meV per atom
Total magnetization: 0.00 μB/cell

Lattice parameters (Å, degrees): 5.0596 5.3681 5.3681 90.00 90.00 90.00
Sites, in units of the cell vectors:
O: 0.7270 0.2331 0.7669
O: 0.7270 0.7669 0.7669
O: 0.1386 0.5000 0.5000
O: 0.2428 0.0000 0.0000
O: 0.7270 0.7669 0.2331
O: 0.7270 0.2331 0.2331
Pm: 0.9968 0.0000 0.5000
Pm: 0.9968 0.5000 0.0000
Y: 0.5645 0.5000 0.5000
Al: 0.5991 0.0000 0.0000